# SbAu3

An optimized crystal structure of SbAu3 (PBEsol, Alexandria).

Properties
DOS at the Fermi energy, states/eV/f.u.: 1.5
Magnetic moment, μB per cell: 0.000
Formation energy from raw total energies, meV/atom: 53
SG: Pm-3m (221)

The structure in CIF format:
```
data_SbAu3
_cell_length_a 4.216
_cell_length_b 4.223
_cell_length_c 4.223
_cell_angle_alpha 89.97
_cell_angle_beta 90.00
_cell_angle_gamma 90.00
_symmetry_space_group_name_H-M 'P 1'
_symmetry_Int_Tables_number 1
_symmetry_space_group_name_Hall 'P 1'
loop_
_atom_site_label
_atom_site_type_symbol
_atom_site_fract_x
_atom_site_fract_y
_atom_site_fract_z
Au1 Au 0.500 0.000 0.500
Au2 Au 0.000 0.500 0.500
Au3 Au 0.500 0.500 0.000
Sb1 Sb 0.000 0.000 0.000
```